(1)
This record from Alexandria via LeMat-Bulk describes a relaxed structure of BiSbS2. The functional is PBE.

Properties
Crystal system: cubic
Calculated total energy: -3.9559 eV per atom
Magnetic moment: 0.00 μB per formula unit
ρ: 7.45 Mg/m³
Uncorrected formation energy: 0.43 eV per formula unit

abc: 7.061 7.061 7.061
angles: 90.00 90.00 90.00
Space group Fm-3m (No. 225)
Unique sites:
1 Bi 0.000 0.000 0.000 x4
2 Sb 0.000 0.000 0.500 x4
3 S 0.250 0.250 0.250 x8

(2)
This record from Alexandria via LeMat-Bulk describes a relaxed structure of Bi4Sb2S9. The functional is PBE.

Properties
Crystal system: monoclinic
Calculated total energy: -4.3408 eV per atom
Magnetic moment: 0.00 μB per formula unit
ρ: 5.26 Mg/m³
Uncorrected formation energy: -4.20 eV per formula unit

abc: 11.930 7.585 19.079
angles: 90.00 90.40 90.00
Space group C2/c (No. 15)
Unique sites:
1 Bi 0.161 0.011 0.483 x8
2 Bi 0.168 0.013 0.679 x8
3 Sb 0.014 0.496 0.844 x8
4 S 0.000 0.247 0.750 x4
5 S 0.021 0.159 0.075 x8
6 S 0.145 0.340 0.262 x8
7 S 0.161 0.267 0.580 x8
8 S 0.183 0.346 0.905 x8

(3)
This record from Alexandria via LeMat-Bulk describes a relaxed structure of Bi2Sb2S. The functional is PBE.

Properties
Crystal system: tetragonal
Calculated total energy: -3.7776 eV per atom
Magnetic moment: 0.00 μB per formula unit
ρ: 7.69 Mg/m³
Uncorrected formation energy: 1.25 eV per formula unit

abc: 7.751 7.751 4.984
angles: 90.00 90.00 90.00
Space group P4/mbm (No. 127)
Unique sites:
1 Bi 0.141 0.359 0.000 x4
2 Sb 0.193 0.693 0.500 x4
3 S 0.000 0.000 0.500 x2

(4)
This record from Alexandria via LeMat-Bulk describes a relaxed structure of BiSb3S. The functional is PBE.

Properties
Crystal system: cubic
Calculated total energy: -2.8120 eV per atom
Magnetic moment: 1.79 μB per formula unit
ρ: 5.08 Mg/m³
Uncorrected formation energy: 6.32 eV per formula unit

abc: 5.831 5.831 5.831
angles: 90.00 90.00 90.00
Space group Pm-3m (No. 221)
Unique sites:
1 Bi 0.000 0.000 0.000 x1
2 Sb 0.000 0.000 0.500 x3
3 S 0.500 0.500 0.500 x1

(5)
This record from Alexandria via LeMat-Bulk describes a relaxed structure of Bi4SbS7. The functional is PBE.

Properties
Crystal system: monoclinic
Calculated total energy: -4.3115 eV per atom
Magnetic moment: 0.00 μB per formula unit
ρ: 6.17 Mg/m³
Uncorrected formation energy: -3.20 eV per formula unit

abc: 13.367 4.090 12.061
angles: 90.00 105.07 90.00
Space group Cm (No. 8)
Unique sites:
1 Bi 0.000 0.000 0.000 x2
2 Bi 0.074 0.500 0.392 x2
3 Bi 0.202 0.000 0.739 x2
4 Bi 0.388 0.500 0.562 x2
5 Sb 0.258 0.500 0.123 x2
6 S 0.045 0.500 0.611 x2
7 S 0.125 0.500 0.927 x2
8 S 0.156 0.000 0.201 x2
9 S 0.232 0.000 0.521 x2
10 S 0.343 0.500 0.778 x2
11 S 0.384 0.000 0.065 x2
12 S 0.435 0.500 0.348 x2

(6)
This record from Alexandria via LeMat-Bulk describes a relaxed structure of BiSbS4. The functional is PBE.

Properties
Crystal system: monoclinic
Calculated total energy: -4.2065 eV per atom
Magnetic moment: 0.00 μB per formula unit
ρ: 4.59 Mg/m³
Uncorrected formation energy: -0.73 eV per formula unit

abc: 13.087 3.818 6.825
angles: 90.00 102.93 90.00
Space group C2/m (No. 12)
Unique sites:
1 Bi 0.000 0.000 0.000 x2
2 Sb 0.000 0.500 0.500 x2
3 S 0.117 0.000 0.406 x4
4 S 0.119 0.500 0.842 x4

(7)
This record from Alexandria via LeMat-Bulk describes a relaxed structure of BiSbS2. The functional is PBE.

Properties
Crystal system: trigonal
Calculated total energy: -4.1575 eV per atom
Magnetic moment: 0.00 μB per formula unit
ρ: 5.87 Mg/m³
Uncorrected formation energy: -0.37 eV per formula unit

abc: 3.8230 3.8230 26.4973
angles: 90.00 90.00 120.00
Space group R-3m (No. 166, hexagonal axes)
Unique sites:
1 Bi 0.0000 0.0000 0.0000 x3
2 Sb 0.0000 0.0000 0.5000 x3
3 S 0.0000 0.0000 0.1053 x6

(8)
This record from Alexandria via LeMat-Bulk describes a relaxed structure of BiSbTe2S. The functional is PBE.

Properties
Crystal system: tetragonal
Calculated total energy: -3.2942 eV per atom
Magnetic moment: 0.00 μB per formula unit
ρ: 6.96 Mg/m³
Uncorrected formation energy: 1.94 eV per formula unit

abc: 5.240 5.240 5.366
angles: 90.00 90.00 90.00
Space group P4/mmm (No. 123)
Unique sites:
1 Bi 0.000 0.000 0.000 x1
2 Sb 0.500 0.500 0.000 x1
3 Te 0.000 0.500 0.500 x2
4 S 0.500 0.500 0.500 x1

(9)
This record from Alexandria via LeMat-Bulk describes a relaxed structure of BiSbTe2S. The functional is PBE.

Properties
Crystal system: tetragonal
Calculated total energy: -2.6060 eV per atom
Magnetic moment: 1.45 μB per formula unit
ρ: 4.93 Mg/m³
Uncorrected formation energy: 5.38 eV per formula unit

abc: 5.932 5.932 5.921
angles: 90.00 90.00 90.00
Space group P4/mmm (No. 123)
Unique sites:
1 Bi 0.000 0.000 0.000 x1
2 Sb 0.000 0.000 0.500 x1
3 Te 0.000 0.500 0.000 x2
4 S 0.500 0.500 0.500 x1

(10)
This record from Alexandria via LeMat-Bulk describes a relaxed structure of Tl3Bi3SbS8. The functional is PBE.

Properties
Crystal system: trigonal
Calculated total energy: -4.0711 eV per atom
Magnetic moment: 0.00 μB per formula unit
ρ: 6.16 Mg/m³
Uncorrected formation energy: -5.18 eV per formula unit

abc: 8.1354 8.1354 22.8215
angles: 90.00 90.00 120.00
Space group R-3m (No. 166, hexagonal axes)
Unique sites:
1 Tl 0.0000 0.5000 0.0000 x9
2 Bi 0.0000 0.5000 0.5000 x9
3 Sb 0.0000 0.0000 0.5000 x3
4 S 0.0000 0.0000 0.2367 x6
5 S 0.0184 0.5092 0.2332 x18

(11)
This record from Alexandria via LeMat-Bulk describes a relaxed structure of Tl2BiSbS4. The functional is PBE.

Properties
Crystal system: orthorhombic
Calculated total energy: -4.0016 eV per atom
Magnetic moment: 0.00 μB per formula unit
ρ: 6.74 Mg/m³
Uncorrected formation energy: -2.77 eV per formula unit

abc: 8.412 8.502 11.960
angles: 90.00 90.00 90.00
Space group Imma (No. 74)
Unique sites:
1 Tl 0.000 0.000 0.000 x4
2 Tl 0.250 0.250 0.250 x4
3 Bi 0.000 0.000 0.500 x4
4 Sb 0.250 0.250 0.750 x4
5 S 0.000 0.028 0.740 x8
6 S 0.229 0.250 0.515 x8

(12)
This record from Alexandria via LeMat-Bulk describes a relaxed structure of BiSbWS2. The functional is PBE.

Properties
Crystal system: tetragonal
Calculated total energy: -4.5911 eV per atom
Magnetic moment: 2.63 μB per formula unit
ρ: 7.14 Mg/m³
Uncorrected formation energy: 6.26 eV per formula unit

abc: 4.976 4.976 5.438
angles: 90.00 90.00 90.00
Space group P4/mmm (No. 123)
Unique sites:
1 Bi 0.000 0.000 0.000 x1
2 Sb 0.500 0.500 0.500 x1
3 W 0.500 0.500 0.000 x1
4 S 0.000 0.500 0.500 x2

(13)
This record from Alexandria via LeMat-Bulk describes a relaxed structure of ScBi3S6. The functional is PBE.

Properties
Crystal system: trigonal
Calculated total energy: -4.9829 eV per atom
Magnetic moment: 0.00 μB per formula unit
ρ: 5.36 Mg/m³
Uncorrected formation energy: -7.09 eV per formula unit

abc: 11.7528 11.7528 13.4280
angles: 90.00 90.00 120.00
Space group R-3 (No. 148, hexagonal axes)
Unique sites:
1 Sc 0.0000 0.0000 0.0000 x3
2 Sc 0.0000 0.0000 0.5000 x3
3 Bi 0.0552 0.2657 0.2006 x18
4 S 0.0268 0.1999 0.3982 x18
5 S 0.0319 0.1888 0.8832 x18

(14)
This record from Alexandria via LeMat-Bulk describes a relaxed structure of ScBi2S4. The functional is PBE.

Properties
Crystal system: orthorhombic
Calculated total energy: -5.1549 eV per atom
Magnetic moment: 0.00 μB per formula unit
ρ: 5.76 Mg/m³
Uncorrected formation energy: -5.48 eV per formula unit

abc: 7.225 12.663 3.728
angles: 90.00 90.00 90.00
Space group Pbam (No. 55)
Unique sites:
1 Sc 0.000 0.000 0.000 x2
2 Bi 0.107 0.345 0.500 x4
3 S 0.112 0.802 0.000 x4
4 S 0.241 0.041 0.500 x4

(15)
This record from Alexandria via LeMat-Bulk describes a relaxed structure of ScBiS3. The functional is PBE.

Properties
Crystal system: cubic
Calculated total energy: -5.1039 eV per atom
Magnetic moment: 0.00 μB per formula unit
ρ: 4.95 Mg/m³
Uncorrected formation energy: -2.92 eV per formula unit

abc: 4.896 4.896 4.896
angles: 90.00 90.00 90.00
Space group Pm-3m (No. 221)
Unique sites:
1 Sc 0.000 0.000 0.000 x1
2 Bi 0.500 0.500 0.500 x1
3 S 0.000 0.000 0.500 x3

(16)
This record from Alexandria via LeMat-Bulk describes a relaxed structure of Sc8BiS4. The functional is PBE.

Properties
Crystal system: monoclinic
Calculated total energy: -6.6657 eV per atom
Magnetic moment: 0.00 μB per formula unit
ρ: 4.22 Mg/m³
Uncorrected formation energy: -15.61 eV per formula unit

abc: 17.108 3.666 12.028
angles: 90.00 133.42 90.00
Space group C2/m (No. 12)
Unique sites:
1 Sc 0.047 0.000 0.210 x4
2 Sc 0.140 0.500 0.805 x4
3 Sc 0.142 0.500 0.096 x4
4 Sc 0.174 0.500 0.545 x4
5 Bi 0.000 0.000 0.500 x2
6 S 0.153 0.000 0.963 x4
7 S 0.185 0.500 0.341 x4

(17)
This record from Alexandria via LeMat-Bulk describes a relaxed structure of Sc2Bi2S7. The functional is PBE.

Properties
Crystal system: orthorhombic
Calculated total energy: -5.3674 eV per atom
Magnetic moment: 0.00 μB per formula unit
ρ: 4.57 Mg/m³
Uncorrected formation energy: -9.72 eV per formula unit

abc: 3.850 14.803 9.329
angles: 90.00 90.00 90.00
Space group Imm2 (No. 44)
Unique sites:
1 Sc 0.000 0.000 0.000 x2
2 Sc 0.000 0.500 0.060 x2
3 Bi 0.000 0.231 0.329 x4
4 S 0.000 0.117 0.541 x4
5 S 0.000 0.184 0.963 x4
6 S 0.000 0.430 0.675 x4
7 S 0.000 0.500 0.318 x2

(18)
This record from Alexandria via LeMat-Bulk describes a relaxed structure of Sc6BiS4. The functional is PBE.

Properties
Crystal system: orthorhombic
Calculated total energy: -6.8208 eV per atom
Magnetic moment: 0.00 μB per formula unit
ρ: 4.62 Mg/m³
Uncorrected formation energy: -16.65 eV per formula unit

abc: 3.804 12.154 18.865
angles: 90.00 90.00 90.00
Space group Cmcm (No. 63)
Unique sites:
1 Sc 0.000 0.000 0.000 x4
2 Sc 0.000 0.147 0.250 x4
3 Sc 0.000 0.273 0.583 x8
4 Sc 0.000 0.464 0.157 x8
5 Bi 0.000 0.165 0.750 x4
6 S 0.000 0.095 0.122 x8
7 S 0.000 0.362 0.041 x8

(19)
This record from Alexandria via LeMat-Bulk describes a relaxed structure of Sc3BiS2. The functional is PBE.

Properties
Crystal system: orthorhombic
Calculated total energy: -6.4124 eV per atom
Magnetic moment: 0.00 μB per formula unit
ρ: 5.09 Mg/m³
Uncorrected formation energy: -7.34 eV per formula unit

abc: 3.670 13.898 10.448
angles: 90.00 90.00 90.00
Space group Cmcm (No. 63)
Unique sites:
1 Sc 0.000 0.031 0.250 x4
2 Sc 0.000 0.366 0.023 x8
3 Bi 0.000 0.288 0.750 x4
4 S 0.000 0.000 0.000 x4
5 S 0.000 0.410 0.250 x4

(20)
This record from Alexandria via LeMat-Bulk describes a relaxed structure of Sc3Bi2S8. The functional is PBE.

Properties
Crystal system: monoclinic
Calculated total energy: -5.7238 eV per atom
Magnetic moment: 0.00 μB per formula unit
ρ: 4.23 Mg/m³
Uncorrected formation energy: -14.63 eV per formula unit

abc: 13.521 7.584 6.533
angles: 90.00 108.61 90.00
Space group C2/m (No. 12)
Unique sites:
1 Sc 0.000 0.000 0.000 x2
2 Sc 0.000 0.255 0.500 x4
3 Bi 0.229 0.500 0.163 x4
4 S 0.107 0.000 0.407 x4
5 S 0.114 0.235 0.902 x8
6 S 0.117 0.500 0.442 x4